# PBE with a Hubbard U PaMnAsO6, optimized geometry
# crystal system	trigonal
# spin magnetization	9.99	μB/cell
# energy	-140.85	eV for the cell shown
data_PaMnAsO6
_chemical_formula_sum 'Pa2 Mn2 As2 O12'
_cell_length_a 5.3929
_cell_length_b 5.3929
_cell_length_c 9.1060
_cell_angle_alpha 90.00
_cell_angle_beta 90.00
_cell_angle_gamma 120.00
_symmetry_space_group_name_H-M 'P -3 1 c'
_symmetry_Int_Tables_number 163
_symmetry_space_group_name_Hall '-P 3 2c'
loop_
_atom_site_label
_atom_site_fract_x
_atom_site_fract_y
_atom_site_fract_z
Pa1 0.3333 0.6667 0.2500
Mn1 0.0000 0.0000 0.0000
As1 0.3333 0.6667 0.7500
O1 0.0450 0.3761 0.6352